Entry from Alexandria via LeMat-Bulk: a geometry-optimized Tb6PrTm2Sc structure (PBE-GGA).

Results
DOS at the Fermi energy   1.466 states/eV per atom
Magnetic moment   0.000 μB per atom
Space group   C2/c (15)
E_form   0.127 eV/atom

Lattice parameters (Å, degrees): 9.014 9.014 8.809 90.93 90.93 117.78
Sites, in units of the cell vectors:
Tb 0.035 0.456 0.796
Tb 0.133 0.786 0.553
Tb 0.214 0.867 0.947
Tb 0.271 0.521 0.404
Tb 0.456 0.035 0.296
Tb 0.479 0.729 0.096
Tb 0.521 0.271 0.904
Tb 0.544 0.965 0.704
Tb 0.729 0.479 0.596
Tb 0.786 0.133 0.053
Tb 0.867 0.214 0.447
Tb 0.965 0.544 0.204
Pr 0.033 0.967 0.250
Pr 0.967 0.033 0.750
Tm 0.210 0.323 0.058
Tm 0.323 0.210 0.558
Tm 0.677 0.790 0.442
Tm 0.790 0.677 0.942
Sc 0.437 0.563 0.750
Sc 0.563 0.437 0.250